[1]
{"formula": "Hf2Zr5ZnRh2", "functional": "PBE-GGA", "state": "relaxed", "crystal_system": "tetragonal", "e_form_kj_per_mol_atoms": -33.3, "lattice_angstrom": [[11.1317, 0.0000, 0.0000], [0.0000, 11.1317, 0.0000], [0.0000, 0.0000, 3.3761]], "species": ["Hf", "Hf", "Hf", "Hf", "Zr", "Zr", "Zr", "Zr", "Zr", "Zr", "Zr", "Zr", "Zr", "Zr", "Zn", "Zn", "Rh", "Rh", "Rh", "Rh"], "frac_coords": [[0.1798, 0.3202, 0.0000], [0.3202, 0.8202, 0.0000], [0.6798, 0.1798, 0.0000], [0.8202, 0.6798, 0.0000], [0.0000, 0.5000, 0.5000], [0.0528, 0.8013, 0.5000], [0.1987, 0.0528, 0.5000], [0.3013, 0.5528, 0.5000], [0.4472, 0.3013, 0.5000], [0.5000, 0.0000, 0.5000], [0.5528, 0.6987, 0.5000], [0.6987, 0.4472, 0.5000], [0.8013, 0.9472, 0.5000], [0.9472, 0.1987, 0.5000], [0.0000, 0.0000, 0.0000], [0.5000, 0.5000, 0.0000], [0.1334, 0.6334, 0.0000], [0.3666, 0.1334, 0.0000], [0.6334, 0.8666, 0.0000], [0.8666, 0.3666, 0.0000]]}

=====

[2]
{"formula": "LiZnAg6", "functional": "PBE-GGA", "state": "relaxed", "crystal_system": "monoclinic", "e_above_lowest_polymorph_ev_per_atom": 0.1332, "e_form_kj_per_mol_atoms": 6.1, "lattice_angstrom": [[3.9643, -2.7670, 0.0000], [3.9643, 2.7670, 0.0000], [-2.5352, 0.0000, 7.0474]], "species": ["Li", "Zn", "Ag", "Ag", "Ag", "Ag", "Ag", "Ag"], "frac_coords": [[0.0000, 0.0000, 0.0000], [0.5000, 0.5000, 0.5000], [0.0573, 0.5632, 0.1970], [0.1465, 0.1465, 0.4365], [0.4368, 0.9427, 0.8030], [0.5632, 0.0573, 0.1970], [0.8535, 0.8535, 0.5635], [0.9427, 0.4368, 0.8030]]}

=====

[3]
{"formula": "NpSi4OsRh2", "functional": "PBE-GGA", "state": "relaxed", "crystal_system": "trigonal", "formation_energy_uncorrected_ev_per_atom": -0.486, "lattice_angstrom": [[2.0369, 1.1760, 8.5765], [-2.0369, 1.1760, 8.5765], [0.0000, -2.3521, 8.5765]], "species": ["Np", "Si", "Si", "Si", "Si", "Os", "Rh", "Rh"], "frac_coords": [[0.0000, 0.0000, 0.0000], [0.1283, 0.1283, 0.1283], [0.3986, 0.3986, 0.3986], [0.6014, 0.6014, 0.6014], [0.8717, 0.8717, 0.8717], [0.5000, 0.5000, 0.5000], [0.2324, 0.2324, 0.2324], [0.7676, 0.7676, 0.7676]]}

=====

[4]
{"formula": "Li2CaPm2In5", "functional": "PBE-GGA", "state": "relaxed", "crystal_system": "tetragonal", "e_form_kj_per_mol_atoms": -39.6, "lattice_angstrom": [[10.4002, 0.0000, 0.0000], [0.0000, 10.4002, 0.0000], [0.0000, 0.0000, 4.5093]], "species": ["Li", "Li", "Li", "Li", "Ca", "Ca", "Pm", "Pm", "Pm", "Pm", "In", "In", "In", "In", "In", "In", "In", "In", "In", "In"], "frac_coords": [[0.1152, 0.3848, 0.0000], [0.3848, 0.8848, 0.0000], [0.6152, 0.1152, 0.0000], [0.8848, 0.6152, 0.0000], [0.0000, 0.0000, 0.0000], [0.5000, 0.5000, 0.0000], [0.1779, 0.6779, 0.0000], [0.3221, 0.1779, 0.0000], [0.6779, 0.8221, 0.0000], [0.8221, 0.3221, 0.0000], [0.0000, 0.5000, 0.5000], [0.0690, 0.2142, 0.5000], [0.2142, 0.9310, 0.5000], [0.2858, 0.4310, 0.5000], [0.4310, 0.7142, 0.5000], [0.5000, 0.0000, 0.5000], [0.5690, 0.2858, 0.5000], [0.7142, 0.5690, 0.5000], [0.7858, 0.0690, 0.5000], [0.9310, 0.7858, 0.5000]]}

=====

no.,E_tot (eV for the cell shown)
1,-164.16
2,-19.79
3,-64.45
4,-66.26